[1]
This record from Alexandria describes a relaxed Ce4ErBi5 crystal. The functional is PBE.

Cell and atoms, written as POSCAR:
```
Ce4ErBi5
1.0
5.8294 0.0000 2.8117
2.9147 7.2268 1.4058
-0.2249 0.0000 7.9151
Bi Ce Er
5 4 1
Cartesian
3.9344 5.8132 6.7566 Bi
4.5973 1.4137 5.3820 Bi
2.3068 4.3765 2.6822 Bi
6.2249 2.8504 9.4565 Bi
2.9196 0.0000 1.4082 Bi
3.3327 2.8776 8.0042 Ce
5.1991 4.3493 4.1345 Ce
1.6709 1.4653 4.0007 Ce
6.8609 5.7616 8.1380 Ce
0.0047 0.0000 0.0023 Er
```

## Properties
**Magnetization**: 3.5 μB per formula unit
**VASP energy**: -55.60 eV/cell
**Formation energy from the elements**: -0.79 eV per atom

[2]
This record from Alexandria describes a relaxed CeEr4Bi2 crystal. The functional is PBE.

Cell and atoms, written as POSCAR:
```
CeEr4Bi2
1.0
7.9624 0.0000 -0.7013
0.0000 6.5608 0.0000
-3.6552 0.0000 8.4297
Ce Er Bi
2 8 4
Cartesian
0.7195 4.9206 2.8748 Ce
3.5878 1.6402 4.8536 Ce
5.8334 4.9206 3.4644 Er
0.6807 6.5335 6.3238 Er
0.6807 3.3077 6.3238 Er
-2.4288 4.9206 7.7058 Er
3.6266 0.0273 1.4047 Er
6.7361 1.6402 0.0227 Er
-1.5261 1.6402 4.2640 Er
3.6266 3.2531 1.4047 Er
-1.8805 1.6402 7.5922 Bi
6.1878 4.9206 0.1363 Bi
1.1633 1.6402 2.8440 Bi
3.1439 4.9206 4.8844 Bi
```

## Properties
**Magnetization**: 1.0 μB per formula unit
**VASP energy**: -68.53 eV/cell
**Formation energy from the elements**: -0.33 eV per atom

[3]
This record from Alexandria describes a relaxed CeEr3Bi4 crystal. The functional is PBE.

Cell and atoms, written as POSCAR:
```
CeEr3Bi4
1.0
-0.7466 -3.9514 -2.0040
5.2357 -3.3515 4.6578
-7.0169 -0.3546 3.3134
Bi Ce Er
4 1 3
Cartesian
-0.4559 -0.9486 2.0402 Bi
-1.3252 -2.7575 5.9310 Bi
-4.2930 -3.0878 2.6512 Bi
1.7653 -4.5697 3.3160 Bi
-0.3733 -1.9757 -1.0020 Ce
-1.2639 -3.8287 2.9836 Er
2.6179 -1.6758 2.3289 Er
-3.5084 -0.1773 1.6567 Er
```

## Properties
**Magnetization**: 0.8 μB per formula unit
**VASP energy**: -41.58 eV/cell
**Formation energy from the elements**: -0.80 eV per atom